Below is a geometry-optimized ZnReBr2 structure, with properties calculated at the GGA-PBE level.

Lattice parameters (Å, degrees): 8.8499 8.8499 6.7720 49.20 49.20 90.00
Positions (direct):
Re: 0.7500 0.2500 0.5000
Br: 0.3750 0.2336 0.7500
Br: 0.8750 0.0164 0.7500
Zn: 0.5000 0.5000 0.0000
Re: 0.0000 0.0000 0.0000
Br: 0.7664 0.1250 0.2500
Br: 0.9836 0.6250 0.2500
Zn: 0.2500 0.7500 0.5000

Properties
The calculation puts the density at 6.740 g cm⁻³. The energy above the most stable polymorph in this dataset comes out at 0.3015 eV per atom. The energy relative to the elements, uncorrected is 0.49 eV/atom. As for the crystal system: tetragonal.

Below is a geometry-optimized Li3Zr2WN6 structure, with properties calculated at the GGA-PBE level.

Lattice parameters (Å, degrees): 5.5200 5.5200 5.3784 99.60 99.60 120.09
Positions (direct):
N: 0.9271 0.6147 0.7777
Zr: 0.3331 0.6669 0.0000
N: 0.7587 0.7587 0.2223
N: 0.0729 0.3853 0.2223
Zr: 0.6669 0.3331 0.0000
Li: 0.8439 0.1561 0.5000
N: 0.6147 0.9271 0.7777
Li: 0.1561 0.8439 0.5000
Li: 0.5000 0.5000 0.5000
N: 0.2413 0.2413 0.7777
W: 0.0000 0.0000 0.0000
N: 0.3853 0.0729 0.2223

Properties
The calculation puts the density at 5.853 g cm⁻³. The energy relative to the elements, uncorrected is -0.85 eV/atom. As for the crystal system: monoclinic.

Below is a geometry-optimized NaPtCl6 structure, with properties calculated at the GGA-PBE level.

Lattice parameters (Å, degrees): 6.4311 6.4358 6.8004 61.80 61.77 59.98
Positions (direct):
Na: 0.5000 0.5000 0.5000
Cl: 0.9676 0.6036 0.2321
Cl: 0.0324 0.3964 0.7679
Cl: 0.8028 0.0323 0.7681
Pt: 0.0000 0.0000 0.0000
Cl: 0.6031 0.1971 0.2322
Cl: 0.3969 0.8029 0.7678
Cl: 0.1972 0.9677 0.2319

Properties
The calculation puts the density at 3.503 g cm⁻³. The energy relative to the elements, uncorrected is -0.64 eV/atom. As for the crystal system: triclinic.

Below is a geometry-optimized Pr2AlH2O6 structure, with properties calculated at the GGA-PBE level.

Lattice parameters (Å, degrees): 5.0774 5.0774 5.6548 63.32 63.32 60.00
Positions (direct):
Pr: 0.7660 0.7660 0.7020
O: 0.2499 0.2499 0.7571
Al: 0.0000 0.0000 0.0000
O: 0.2499 0.7430 0.7571
H: 0.4193 0.4193 0.7421
O: 0.2570 0.7501 0.2429
H: 0.5807 0.5807 0.2579
O: 0.7430 0.2499 0.7571
Pr: 0.2340 0.2340 0.2980
O: 0.7501 0.2570 0.2429
O: 0.7501 0.7501 0.2429

Properties
The calculation puts the density at 6.257 g cm⁻³. As for the crystal system: trigonal. Its calculated total energy is -6.6790 eV per atom.

Below is a geometry-optimized TlCu structure, with properties calculated at the GGA-PBE level.

Lattice parameters (Å, degrees): 8.4120 8.4120 4.6383 90.00 90.00 90.00
Positions (direct):
Tl: 0.5000 0.2157 0.0000
Tl: 0.0000 0.7157 0.5000
Cu: 0.8491 0.1509 0.0000
Tl: 0.5000 0.7843 0.0000
Cu: 0.1509 0.8491 0.0000
Tl: 0.2843 0.0000 0.5000
Cu: 0.6509 0.3491 0.5000
Cu: 0.3491 0.3491 0.5000
Tl: 0.2157 0.5000 0.0000
Cu: 0.6509 0.6509 0.5000
Tl: 0.0000 0.2843 0.5000
Cu: 0.1509 0.1509 0.0000
Cu: 0.8491 0.8491 0.0000
Tl: 0.7157 0.0000 0.5000
Cu: 0.3491 0.6509 0.5000
Tl: 0.7843 0.5000 0.0000

Properties
The calculation puts the density at 10.844 g cm⁻³. The value obtained for the energy of formation from the pure elements is 26.8 kJ/mol of atoms. As for the crystal system: tetragonal.

Below is a geometry-optimized SbSe structure, with properties calculated at the GGA-PBE level.

Lattice parameters (Å, degrees): 6.2984 6.2984 5.7261 90.00 90.00 90.00
Positions (direct):
Sb: 0.1598 0.1598 0.0000
Sb: 0.3402 0.6598 0.5000
Se: 0.7984 0.7984 0.5000
Sb: 0.8402 0.8402 0.0000
Se: 0.7016 0.2984 0.0000
Se: 0.2984 0.7016 0.0000
Se: 0.2016 0.2016 0.5000
Sb: 0.6598 0.3402 0.5000

Properties
The calculation puts the density at 5.869 g cm⁻³. The energy relative to the elements, uncorrected is -0.01 eV/atom. As for the crystal system: tetragonal.

Below is a geometry-optimized Li2AlPb structure, with properties calculated at the GGA-PBE level.

Lattice parameters (Å, degrees): 3.2151 3.2151 9.5431 80.30 80.30 60.00
Positions (direct):
Pb: 0.6663 0.6663 0.0011
Al: 0.5002 0.5002 0.4993
Li: 0.0889 0.0889 0.7332
Li: 0.2445 0.2445 0.2665

Properties
The calculation puts the density at 4.916 g cm⁻³. The value obtained for the energy of formation from the pure elements is -4.7 kJ/mol of atoms. As for the crystal system: trigonal.

Below is a geometry-optimized HPbBr3 structure, with properties calculated at the GGA-PBE level.

Lattice parameters (Å, degrees): 7.8073 8.1821 11.0540 91.12 90.00 90.00
Positions (direct):
H: 0.7544 0.5641 0.6065
Br: 0.5781 0.0748 0.8403
Br: 0.3729 0.5446 0.8307
Br: 0.5789 0.7669 0.5302
Pb: 0.2621 0.9167 0.4160
Br: 0.6271 0.4554 0.1693
Br: 0.1271 0.5446 0.3307
Pb: 0.7621 0.0833 0.0840
H: 0.2544 0.4359 0.8935
Br: 0.4219 0.9252 0.1597
Br: 0.8729 0.4554 0.6693
Br: 0.4211 0.2331 0.4698
Br: 0.0781 0.9252 0.6597
H: 0.7456 0.5641 0.1065
Br: 0.0789 0.2331 0.9698
Br: 0.9219 0.0748 0.3403
H: 0.2456 0.4359 0.3935
Pb: 0.7379 0.0833 0.5840
Pb: 0.2379 0.9167 0.9160
Br: 0.9211 0.7669 0.0302

Properties
The calculation puts the density at 4.214 g cm⁻³. The energy above the most stable polymorph in this dataset comes out at 0.0000 eV per atom. As for the crystal system: monoclinic.

Below is a geometry-optimized NdYIrRh structure, with properties calculated at the GGA-PBE level.

Lattice parameters (Å, degrees): 4.9378 4.9378 4.9378 60.00 60.00 60.00
Positions (direct):
Rh: 0.0000 0.0000 0.0000
Y: 0.7500 0.7500 0.7500
Nd: 0.2500 0.2500 0.2500
Ir: 0.5000 0.5000 0.5000

Properties
The calculation puts the density at 10.305 g cm⁻³. The value obtained for the energy of formation from the pure elements is -69.1 kJ/mol of atoms. As for the crystal system: cubic.

Below is a geometry-optimized RbSr2Ca structure, with properties calculated at the GGA-PBE level.

Lattice parameters (Å, degrees): 6.8380 6.8380 6.8380 60.00 60.00 60.00
Positions (direct):
Sr: 0.2500 0.2500 0.2500
Ca: 0.0000 0.0000 0.0000
Sr: 0.7500 0.7500 0.7500
Rb: 0.5000 0.5000 0.5000

Properties
The calculation puts the density at 2.209 g cm⁻³. The value obtained for the energy of formation from the pure elements is 14.7 kJ/mol of atoms. The energy above the most stable polymorph in this dataset comes out at 0.0680 eV per atom. As for the crystal system: cubic.

Below is a geometry-optimized Zr2CdTc structure, with properties calculated at the GGA-PBE level.

Lattice parameters (Å, degrees): 3.4457 3.4457 6.6869 90.00 90.00 90.00
Positions (direct):
Zr: 0.0000 0.0000 0.9706
Zr: 0.5000 0.5000 0.2416
Cd: 0.0000 0.0000 0.5188
Tc: 0.5000 0.5000 0.7690

Properties
The calculation puts the density at 8.217 g cm⁻³. The value obtained for the energy of formation from the pure elements is 0.6 kJ/mol of atoms. As for the crystal system: tetragonal.

Below is a geometry-optimized NbIn2Cl4F2 structure, with properties calculated at the GGA-PBE level.

Lattice parameters (Å, degrees): 5.7784 6.8250 6.8250 64.96 80.79 80.79
Each line ends with the local moment (μB).
Positions (direct):
Cl: 0.6860 0.8617 0.3428  0.01
In: 0.7677 0.3158 0.3158  0.01
Cl: 0.6860 0.3428 0.8617  0.01
F: 0.2314 0.1299 0.1299  -0.01
Cl: 0.3140 0.1383 0.6572  0.01
In: 0.2323 0.6842 0.6842  0.01
F: 0.7686 0.8701 0.8701  -0.01
Cl: 0.3140 0.6572 0.1383  0.01
Nb: 0.5000 0.0000 0.0000  0.81

Properties
The calculation puts the density at 3.484 g cm⁻³. The energy relative to the elements, uncorrected is -1.54 eV/atom. As for the crystal system: monoclinic.

Look up the density of the ninth one.
10.305 g cm⁻³

What is the formula in the first record?
ZnReBr2